Entry 1:
MnInAu2: relaxed, PBE.

Geometry as CIF:
```
data_MnInAu2
_chemical_formula_sum 'Mn2 In2 Au4'
_cell_length_a 4.1703
_cell_length_b 4.1703
_cell_length_c 8.3770
_cell_angle_alpha 90.00
_cell_angle_beta 90.00
_cell_angle_gamma 90.00
_symmetry_space_group_name_H-M 'I -4 m 2'
_symmetry_Int_Tables_number 119
_symmetry_space_group_name_Hall 'I -4 -2'
loop_
_atom_site_label
_atom_site_type_symbol
_atom_site_fract_x
_atom_site_fract_y
_atom_site_fract_z
Mn1 Mn 0.0000 0.0000 0.0000
In1 In 0.0000 0.5000 0.2500
Au1 Au 0.0000 0.0000 0.5000
Au2 Au 0.0000 0.5000 0.7500
```

E   -37.24 eV/cell
Total magnetization   1.031 μB/atom



Entry 2:
Cd3AsW: relaxed, PBE.

Geometry as CIF:
```
data_Cd3AsW
_chemical_formula_sum 'Cd3 As1 W1'
_cell_length_a 5.3404
_cell_length_b 5.3404
_cell_length_c 5.3404
_cell_angle_alpha 90.00
_cell_angle_beta 90.00
_cell_angle_gamma 90.00
_symmetry_space_group_name_H-M 'P m -3 m'
_symmetry_Int_Tables_number 221
_symmetry_space_group_name_Hall '-P 4 2 3'
loop_
_atom_site_label
_atom_site_type_symbol
_atom_site_fract_x
_atom_site_fract_y
_atom_site_fract_z
Cd1 Cd 0.0000 0.0000 0.5000
As1 As 0.5000 0.5000 0.5000
W1 W 0.0000 0.0000 0.0000
```

Offset from the most stable computed form   0.043 eV/atom
Total magnetization   0.188 μB/atom



Entry 3:
Zn3Ga4Ag4: relaxed, PBE.

Geometry as CIF:
```
data_Zn3Ga4Ag4
_chemical_formula_sum 'Zn3 Ga4 Ag4'
_cell_length_a 2.9137
_cell_length_b 2.9152
_cell_length_c 22.2660
_cell_angle_alpha 89.59
_cell_angle_beta 87.28
_cell_angle_gamma 89.29
_symmetry_space_group_name_H-M 'P -1'
_symmetry_Int_Tables_number 2
loop_
_symmetry_equiv_pos_as_xyz
'x,y,z'
'-x,-y,-z'
loop_
_atom_site_label
_atom_site_type_symbol
_atom_site_fract_x
_atom_site_fract_y
_atom_site_fract_z
Zn1 Zn 0.0000 0.0000 0.0000
Zn2 Zn 0.4508 0.4294 0.2666
Ga1 Ga 0.0324 0.0405 0.8183
Ga2 Ga 0.3258 0.3288 0.4506
Ag1 Ag 0.0795 0.0887 0.6453
Ag2 Ag 0.4712 0.4946 0.0867
```

E   -27.27 eV/cell
Total magnetization   0.000 μB/atom



Entry 4:
SiAs2F: relaxed, PBE.

Geometry as CIF:
```
data_SiAs2F
_chemical_formula_sum 'Si4 As8 F4'
_cell_length_a 6.2187
_cell_length_b 6.2187
_cell_length_c 6.2187
_cell_angle_alpha 90.00
_cell_angle_beta 90.00
_cell_angle_gamma 90.00
_symmetry_space_group_name_H-M 'F m -3 m'
_symmetry_Int_Tables_number 225
_symmetry_space_group_name_Hall '-F 4 2 3'
loop_
_atom_site_label
_atom_site_type_symbol
_atom_site_fract_x
_atom_site_fract_y
_atom_site_fract_z
Si1 Si 0.0000 0.0000 0.0000
As1 As 0.2500 0.2500 0.2500
F1 F 0.0000 0.0000 0.5000
```

Offset from the most stable computed form   0.000 eV/atom
Total magnetization   0.000 μB/atom
ΔE_f (raw)   -0.218 eV/atom



Entry 5:
KNi2Cl: relaxed, PBE.

Geometry as CIF:
```
data_KNi2Cl
_chemical_formula_sum 'K2 Ni4 Cl2'
_cell_length_a 7.0254
_cell_length_b 9.0085
_cell_length_c 3.4082
_cell_angle_alpha 90.00
_cell_angle_beta 118.85
_cell_angle_gamma 90.00
_symmetry_space_group_name_H-M 'C 1 2 1'
_symmetry_Int_Tables_number 5
loop_
_symmetry_equiv_pos_as_xyz
'x,y,z'
'-x,y,-z'
'x+1/2,y+1/2,z'
'-x+1/2,y+1/2,-z'
loop_
_atom_site_label
_atom_site_type_symbol
_atom_site_fract_x
_atom_site_fract_y
_atom_site_fract_z
K1 K 0.0000 0.0000 0.0000
Ni1 Ni 0.0000 0.4769 0.0000
Ni2 Ni 0.0000 0.6409 0.5000
Cl1 Cl 0.0000 0.3031 0.5000
```

Offset from the most stable computed form   0.189 eV/atom
Total magnetization   0.385 μB/atom
ΔE_f (raw)   0.163 eV/atom



Entry 6:
ErSc2GeC: relaxed, PBE.

Geometry as CIF:
```
data_ErSc2GeC
_chemical_formula_sum 'Er1 Sc2 Ge1 C1'
_cell_length_a 4.4727
_cell_length_b 4.4727
_cell_length_c 4.7433
_cell_angle_alpha 90.00
_cell_angle_beta 90.00
_cell_angle_gamma 90.00
_symmetry_space_group_name_H-M 'P 4/m m m'
_symmetry_Int_Tables_number 123
_symmetry_space_group_name_Hall '-P 4 2'
loop_
_atom_site_label
_atom_site_type_symbol
_atom_site_fract_x
_atom_site_fract_y
_atom_site_fract_z
Er1 Er 0.0000 0.0000 0.0000
Sc1 Sc 0.0000 0.5000 0.5000
Ge1 Ge 0.5000 0.5000 0.0000
C1 C 0.0000 0.0000 0.5000
```

E   -34.45 eV/cell
Total magnetization   0.000 μB/atom



Entry 7:
K2Rb7Na3: relaxed, PBE.

Geometry as CIF:
```
data_K2Rb7Na3
_chemical_formula_sum 'K2 Rb7 Na3'
_cell_length_a 8.1118
_cell_length_b 4.6381
_cell_length_c 23.5967
_cell_angle_alpha 90.00
_cell_angle_beta 92.03
_cell_angle_gamma 90.00
_symmetry_space_group_name_H-M 'P 1 2/m 1'
_symmetry_Int_Tables_number 10
loop_
_symmetry_equiv_pos_as_xyz
'x,y,z'
'-x,-y,-z'
'-x,y,-z'
'x,-y,z'
loop_
_atom_site_label
_atom_site_type_symbol
_atom_site_fract_x
_atom_site_fract_y
_atom_site_fract_z
K1 K 0.0109 0.0000 0.3244
Rb1 Rb 0.0108 0.5000 0.1443
Rb2 Rb 0.2552 0.0000 0.5103
Rb3 Rb 0.4864 0.0000 0.7941
Rb4 Rb 0.5000 0.5000 0.0000
Na1 Na 0.0000 0.0000 0.0000
Na2 Na 0.4648 0.5000 0.3602
```

E   -12.32 eV/cell
Total magnetization   0.000 μB/atom



Entry 8:
BaCaBr2: relaxed, PBE.

Geometry as CIF:
```
data_BaCaBr2
_chemical_formula_sum 'Ba2 Ca2 Br4'
_cell_length_a 8.2303
_cell_length_b 9.9990
_cell_length_c 4.3229
_cell_angle_alpha 90.00
_cell_angle_beta 118.23
_cell_angle_gamma 90.00
_symmetry_space_group_name_H-M 'C 1 2/m 1'
_symmetry_Int_Tables_number 12
loop_
_symmetry_equiv_pos_as_xyz
'x,y,z'
'-x,-y,-z'
'-x,y,-z'
'x,-y,z'
'x+1/2,y+1/2,z'
'-x+1/2,-y+1/2,-z'
'-x+1/2,y+1/2,-z'
'x+1/2,-y+1/2,z'
loop_
_atom_site_label
_atom_site_type_symbol
_atom_site_fract_x
_atom_site_fract_y
_atom_site_fract_z
Ba1 Ba 0.0000 0.0000 0.0000
Ca1 Ca 0.0000 0.5000 0.0000
Br1 Br 0.2500 0.2500 0.0000
```

Offset from the most stable computed form   0.145 eV/atom
Total magnetization   0.160 μB/atom
ΔE_f (raw)   -1.299 eV/atom



Copy entry 3 word for word.
Zn3Ga4Ag4: relaxed, PBE.

Geometry as CIF:
```
data_Zn3Ga4Ag4
_chemical_formula_sum 'Zn3 Ga4 Ag4'
_cell_length_a 2.9137
_cell_length_b 2.9152
_cell_length_c 22.2660
_cell_angle_alpha 89.59
_cell_angle_beta 87.28
_cell_angle_gamma 89.29
_symmetry_space_group_name_H-M 'P -1'
_symmetry_Int_Tables_number 2
loop_
_symmetry_equiv_pos_as_xyz
'x,y,z'
'-x,-y,-z'
loop_
_atom_site_label
_atom_site_type_symbol
_atom_site_fract_x
_atom_site_fract_y
_atom_site_fract_z
Zn1 Zn 0.0000 0.0000 0.0000
Zn2 Zn 0.4508 0.4294 0.2666
Ga1 Ga 0.0324 0.0405 0.8183
Ga2 Ga 0.3258 0.3288 0.4506
Ag1 Ag 0.0795 0.0887 0.6453
Ag2 Ag 0.4712 0.4946 0.0867
```

E   -27.27 eV/cell
Total magnetization   0.000 μB/atom